Computed, not measured: an optimized crystal structure of Mg6AlCrO8 at the PBE+U level of DFT.

Unit cell a=4.2823 b=4.2823 c=8.7283 alpha=90.00 beta=90.00 gamma=90.00
Space group P4/mmm (No. 123)
One atom of each set of equivalent atoms:
1 Mg 0.0000 0.0000 0.0000 [1 per cell]
2 Mg 0.0000 0.0000 0.5000 [1 per cell]
3 Mg 0.0000 0.5000 0.2479 [4 per cell]
4 Al 0.5000 0.5000 0.5000 [1 per cell]
5 Cr 0.5000 0.5000 0.0000 [1 per cell]
6 O 0.0000 0.0000 0.2517 [2 per cell]
7 O 0.0000 0.5000 0.0000 [2 per cell]
8 O 0.0000 0.5000 0.5000 [2 per cell]
9 O 0.5000 0.5000 0.2907 [2 per cell]

Values from the calculation:
The value obtained for the total energy is -99.3 eV for the cell shown. The total magnetic moment is 4.6 μB/f.u. As for the calculated volume: 10.004 Å³/atom.